Entry 1:
VASP calculation (GGA-PBE) on an optimized crystal structure of Ac4Tb2Pr.

```
data_Ac4Tb2Pr
_space_group_name_H-M_alt 'P 1'
_space_group_IT_number 1
_cell_length_a 7.3006
_cell_length_b 7.3006
_cell_length_c 13.2426
_cell_angle_alpha 96.80
_cell_angle_beta 96.80
_cell_angle_gamma 124.77
loop_
_space_group_symop_operation_xyz
'x,y,z'
loop_
_atom_site_label
_atom_site_type_symbol
_atom_site_fract_x
_atom_site_fract_y
_atom_site_fract_z
_atom_site_occupancy
Pr1 Pr 0.7315 0.4793 0.0004 1
Pr2 Pr 0.4793 0.7315 0.5004 1
Ac1 Ac 0.2520 0.1008 0.1407 1
Ac2 Ac 0.1008 0.2520 0.6407 1
Ac3 Ac 0.2578 0.6313 0.2096 1
Ac4 Ac 0.6313 0.2578 0.7096 1
Ac5 Ac 0.8633 0.2107 0.3599 1
Ac6 Ac 0.6707 0.7974 0.7910 1
Ac7 Ac 0.7974 0.6707 0.2910 1
Ac8 Ac 0.2107 0.8633 0.8599 1
Tb1 Tb 0.3853 0.1829 0.4342 1
Tb2 Tb 0.9974 0.7010 0.5657 1
Tb3 Tb 0.1829 0.3853 0.9342 1
Tb4 Tb 0.7010 0.9974 0.0657 1
```

Output
The calculation puts the energy of formation from the pure elements at 0.107 eV/atom. As for the total DFT energy (no corrections): -4.246 eV per atom. The space-group type is Cc, No. 9. The calculation puts the density of states at the Fermi level at 25.28 states/eV/cell. The volume is 40.0 Å³ per atom.

***

Entry 2:
VASP calculation (GGA-PBE) on an optimized crystal structure of VMo2Pd.

```
data_VMo2Pd
_space_group_name_H-M_alt 'P 1'
_space_group_IT_number 1
_cell_length_a 4.4183
_cell_length_b 4.4183
_cell_length_c 4.4183
_cell_angle_alpha 60.00
_cell_angle_beta 60.00
_cell_angle_gamma 60.00
loop_
_space_group_symop_operation_xyz
'x,y,z'
loop_
_atom_site_label
_atom_site_type_symbol
_atom_site_fract_x
_atom_site_fract_y
_atom_site_fract_z
_atom_site_occupancy
Mo1 Mo 0.2500 0.2500 0.2500 1
Mo2 Mo 0.7500 0.7500 0.7500 1
Pd1 Pd 0.5000 0.5000 0.5000 1
V1 V 0.0000 0.0000 0.0000 1
```

Output
The calculation puts the energy of formation from the pure elements at 0.239 eV/atom. As for the total DFT energy (no corrections): -8.754 eV per atom. The space-group type is Fm-3m, No. 225. The calculation puts the density of states at the Fermi level at 6.13 states/eV/cell. The volume is 15.2 Å³ per atom.

***

Entry 3:
VASP calculation (GGA-PBE) on an optimized crystal structure of RbHg2IBr.

```
data_RbHg2IBr
_space_group_name_H-M_alt 'P 1'
_space_group_IT_number 1
_cell_length_a 7.3168
_cell_length_b 6.8821
_cell_length_c 7.3168
_cell_angle_alpha 90.00
_cell_angle_beta 90.00
_cell_angle_gamma 90.00
loop_
_space_group_symop_operation_xyz
'x,y,z'
loop_
_atom_site_label
_atom_site_type_symbol
_atom_site_fract_x
_atom_site_fract_y
_atom_site_fract_z
_atom_site_occupancy
Hg1 Hg 0.0000 0.0000 0.5000 1
Hg2 Hg 0.5000 0.0000 0.0000 1
Br1 Br 0.5000 0.5000 0.5000 1
Rb1 Rb 0.0000 0.0000 0.0000 1
I1 I 0.0000 0.5000 0.0000 1
```

Output
As for the total DFT energy (no corrections): -1.149 eV per atom. Its energy relative to the elements, uncorrected is -0.190 eV/atom. The space-group type is P4/mmm, No. 123. The calculation puts the density of states at the Fermi level at 16.07 states/eV/cell. The volume is 73.7 Å³ per atom.

***

Entry 4:
VASP calculation (GGA-PBE) on an optimized crystal structure of CsTmIn2Cl6.

```
data_CsTmIn2Cl6
_space_group_name_H-M_alt 'P 1'
_space_group_IT_number 1
_cell_length_a 7.9353
_cell_length_b 7.9354
_cell_length_c 8.2215
_cell_angle_alpha 61.02
_cell_angle_beta 61.00
_cell_angle_gamma 59.76
loop_
_space_group_symop_operation_xyz
'x,y,z'
loop_
_atom_site_label
_atom_site_type_symbol
_atom_site_fract_x
_atom_site_fract_y
_atom_site_fract_z
_atom_site_occupancy
Cl1 Cl 0.1595 0.3865 0.7798 1
Cl2 Cl 0.9895 0.5471 0.2294 1
Cl3 Cl 0.2339 0.9903 0.2310 1
Cl4 Cl 0.6759 0.1573 0.7804 1
Cl5 Cl 0.3866 0.6744 0.7789 1
Cl6 Cl 0.5455 0.2344 0.2296 1
In1 In 0.0133 0.0141 0.9591 1
In2 In 0.5245 0.5244 0.4276 1
Cs1 Cs 0.8089 0.8095 0.5714 1
Tm1 Tm 0.3240 0.3237 0.0281 1
```

Output
As for the total DFT energy (no corrections): -3.850 eV per atom. Its energy relative to the elements, uncorrected is -1.662 eV/atom. The space-group type is P1, No. 1. The calculation puts the density of states at the Fermi level at 0.00 states/eV/cell. The volume is 37.1 Å³ per atom.

***

Entry 5:
VASP calculation (GGA-PBE) on an optimized crystal structure of AcZn12Pd4.

```
data_AcZn12Pd4
_space_group_name_H-M_alt 'P 1'
_space_group_IT_number 1
_cell_length_a 7.6232
_cell_length_b 7.6232
_cell_length_c 7.6232
_cell_angle_alpha 109.47
_cell_angle_beta 109.47
_cell_angle_gamma 109.47
loop_
_space_group_symop_operation_xyz
'x,y,z'
loop_
_atom_site_label
_atom_site_type_symbol
_atom_site_fract_x
_atom_site_fract_y
_atom_site_fract_z
_atom_site_occupancy
Zn1 Zn 0.1968 0.8419 0.3549 1
Zn2 Zn 0.8419 0.6451 0.4870 1
Zn3 Zn 0.1581 0.6451 0.8032 1
Zn4 Zn 0.8419 0.3549 0.1968 1
Zn5 Zn 0.1581 0.3549 0.5130 1
Zn6 Zn 0.3549 0.5130 0.1581 1
Zn7 Zn 0.6451 0.4870 0.8419 1
Zn8 Zn 0.8032 0.1581 0.6451 1
Zn9 Zn 0.4870 0.8419 0.6451 1
Zn10 Zn 0.5130 0.1581 0.3549 1
Zn11 Zn 0.6451 0.8032 0.1581 1
Zn12 Zn 0.3549 0.1968 0.8419 1
Pd1 Pd 0.0000 0.5000 0.0000 1
Pd2 Pd 0.0000 0.0000 0.5000 1
Pd3 Pd 0.5000 0.0000 0.0000 1
Pd4 Pd 0.5000 0.5000 0.5000 1
Ac1 Ac 0.0000 0.0000 0.0000 1
```

Output
The calculation puts the energy of formation from the pure elements at -0.065 eV/atom. As for the total DFT energy (no corrections): -2.428 eV per atom. The space-group type is Im-3, No. 204. The calculation puts the density of states at the Fermi level at 6.73 states/eV/cell. The volume is 20.1 Å³ per atom.

***

Entry 6:
VASP calculation (GGA-PBE) on an optimized crystal structure of GeH3SBr3.

```
data_GeH3SBr3
_space_group_name_H-M_alt 'P 1'
_space_group_IT_number 1
_cell_length_a 7.9025
_cell_length_b 6.0962
_cell_length_c 8.7382
_cell_angle_alpha 84.68
_cell_angle_beta 90.04
_cell_angle_gamma 90.02
loop_
_space_group_symop_operation_xyz
'x,y,z'
loop_
_atom_site_label
_atom_site_type_symbol
_atom_site_fract_x
_atom_site_fract_y
_atom_site_fract_z
_atom_site_occupancy
S1 S 0.4369 0.4507 0.4410 1
S2 S 0.0124 0.4504 0.9410 1
H1 H 0.2864 0.5584 0.4644 1
H2 H 0.3468 0.2703 0.3886 1
H3 H 0.1027 0.2703 0.8888 1
H4 H 0.9947 0.5430 0.7895 1
H5 H 0.4545 0.5433 0.2895 1
H6 H 0.1628 0.5586 0.9644 1
Ge1 Ge 0.9546 0.0158 0.4827 1
Ge2 Ge 0.4960 0.0159 0.9827 1
Br1 Br 0.9862 0.5925 0.5262 1
Br2 Br 0.7441 0.0230 0.8079 1
Br3 Br 0.7059 0.0236 0.3082 1
Br4 Br 0.2626 0.0547 0.7715 1
Br5 Br 0.4635 0.5927 0.0263 1
Br6 Br 0.1873 0.0543 0.2713 1
```

Output
As for the total DFT energy (no corrections): -3.337 eV per atom. The space-group type is P1, No. 1. The calculation puts the density of states at the Fermi level at 0.00 states/eV/cell. The volume is 26.2 Å³ per atom.